Density functional theory data (GGA-PBE) for a geometry-optimized Ti2OsAuI structure.

Computed properties:
formation energy (no corrections): 7.323 eV per formula unit
M_tot: 1.0 μB/f.u.
symmetry: No. 123

Unit cell a=4.9062 b=4.7940 c=4.9062 alpha=90.00 beta=90.00 gamma=90.00
With the nearest neighbours (Å) after each atom.
Element x y z (fractional)
1 Os 0.0000 0.5000 0.0000  2 I 2.40
2 I 0.0000 0.0000 0.0000  2 Os 2.40, 4 Ti 2.45
3 Au 0.5000 0.5000 0.5000  8 Ti 3.43, 4 Os 3.47
4 Ti 0.5000 0.0000 0.0000  2 I 2.45
5 Ti 0.0000 0.0000 0.5000  2 I 2.45

---

Density functional theory data (GGA-PBE) for a geometry-optimized P2AuI structure.

Computed properties:
formation energy (no corrections): 2.330 eV per formula unit
M_tot: 0.0 μB/f.u.
symmetry: No. 122

Unit cell a=6.8046 b=6.8046 c=6.4643 alpha=58.24 beta=58.24 gamma=90.00
With the nearest neighbours (Å) after each atom.
Element x y z (fractional)
1 Au 0.0000 0.0000 0.0000  4 P 2.39
2 Au 0.7500 0.2500 0.5000  4 P 2.39
3 P 0.0643 0.6250 0.2500  2 Au 2.39
4 P 0.3750 0.3143 0.7500  2 Au 2.39
5 P 0.6857 0.1250 0.2500  2 Au 2.39
6 P 0.8750 0.9357 0.7500  2 Au 2.39
7 I 0.2500 0.7500 0.5000  4 P 2.92
8 I 0.5000 0.5000 0.0000  4 P 2.92

---

Density functional theory data (GGA-PBE) for a geometry-optimized P10Au7I structure.

Computed properties:
formation energy (no corrections): -2.182 eV per formula unit
M_tot: 0.0 μB/f.u.
symmetry: No. 189

Unit cell a=6.2565 b=6.2565 c=11.3954 alpha=90.00 beta=90.00 gamma=120.00
With the nearest neighbours (Å) after each atom.
Element x y z (fractional)
1 Au 0.5469 0.5469 0.0000  2 P 2.36
2 Au 0.4531 0.0000 0.0000  2 P 2.36
3 Au 0.0000 0.4531 0.0000  2 P 2.36
4 Au 0.6667 0.3333 0.5000  2 P 2.35
5 Au 0.3333 0.6667 0.5000  2 P 2.35
6 Au 0.0000 0.0000 0.2313  3 P 2.38
7 Au 0.0000 0.0000 0.7687  3 P 2.38
8 P 0.3764 0.0000 0.7969  2 P 2.22, 2 Au 2.36-2.38
9 P 0.6667 0.3333 0.7061  3 P 2.22, 1 Au 2.35
10 P 0.6236 0.6236 0.2031  2 P 2.22, 2 Au 2.36-2.38
11 P 0.6236 0.6236 0.7969  2 P 2.22, 2 Au 2.36-2.38
12 P 0.0000 0.3764 0.2031  2 P 2.22, 2 Au 2.36-2.38
13 P 0.0000 0.3764 0.7969  2 P 2.22, 2 Au 2.36-2.38
14 P 0.3333 0.6667 0.2939  3 P 2.22, 1 Au 2.35
15 P 0.3333 0.6667 0.7061  3 P 2.22, 1 Au 2.35
16 P 0.6667 0.3333 0.2939  3 P 2.22, 1 Au 2.35
17 P 0.3764 0.0000 0.2031  2 P 2.22, 2 Au 2.36-2.38
18 I 0.0000 0.0000 0.5000  2 Au 3.06

---

Density functional theory data (GGA-PBE) for a geometry-optimized P2AuI8 structure.

Computed properties:
formation energy (no corrections): 0.926 eV per formula unit
M_tot: 0.9 μB/f.u.
symmetry: No. 12

Unit cell a=7.3908 b=9.0397 c=9.0397 alpha=66.24 beta=93.67 gamma=93.67
With the nearest neighbours (Å) after each atom.
Element x y z (fractional)
1 I 0.3325 0.7972 0.7972  1 P 2.47
2 I 0.7870 0.1260 0.7143  1 Au 2.79, 1 P 2.86
3 I 0.7870 0.7143 0.1260  1 Au 2.79, 1 P 2.86
4 I 0.7161 0.6323 0.6323  1 P 2.54
5 I 0.2130 0.8740 0.2857  1 Au 2.79, 1 P 2.86
6 I 0.6675 0.2028 0.2028  1 P 2.47
7 I 0.2130 0.2857 0.8740  1 Au 2.79, 1 P 2.86
8 I 0.2839 0.3677 0.3677  1 P 2.54
9 P 0.6663 0.7961 0.7961  2 I 2.47-2.54
10 P 0.3337 0.2039 0.2039  2 I 2.47-2.54
11 Au 0.0000 0.0000 0.0000  4 I 2.79

---

Density functional theory data (GGA-PBE) for a geometry-optimized PAuI2 structure.

Computed properties:
formation energy (no corrections): 3.374 eV per formula unit
M_tot: 0.0 μB/f.u.
symmetry: No. 225

Unit cell a=5.1932 b=5.1932 c=5.1932 alpha=60.00 beta=60.00 gamma=60.00
With the nearest neighbours (Å) after each atom.
Element x y z (fractional)
1 I 0.7500 0.7500 0.7500  4 Au 3.18, 4 P 3.18
2 I 0.2500 0.2500 0.2500  4 Au 3.18, 4 P 3.18
3 P 0.0000 0.0000 0.0000  8 I 3.18
4 Au 0.5000 0.5000 0.5000  8 I 3.18

---

Density functional theory data (GGA-PBE) for a geometry-optimized P10Au7I structure.

Computed properties:
formation energy (no corrections): -2.440 eV per formula unit
M_tot: 0.0 μB/f.u.
symmetry: No. 162

Unit cell a=6.2709 b=6.2709 c=11.2543 alpha=90.00 beta=90.00 gamma=120.00
With the nearest neighbours (Å) after each atom.
Element x y z (fractional)
1 Au 0.0000 0.0000 0.2254  3 P 2.38
2 Au 0.3333 0.6667 0.5000  2 P 2.34
3 Au 0.5000 0.0000 0.0000  2 P 2.37
4 Au 0.0000 0.5000 0.0000  2 P 2.37
5 Au 0.5000 0.5000 0.0000  2 P 2.37
6 Au 0.0000 0.0000 0.7746  3 P 2.38
7 Au 0.6667 0.3333 0.5000  2 P 2.34
8 I 0.0000 0.0000 0.5000  2 Au 3.09
9 P 0.6238 0.6238 0.1992  2 P 2.23, 2 Au 2.37-2.38
10 P 0.0000 0.6238 0.8008  2 P 2.23, 2 Au 2.37-2.38
11 P 0.6667 0.3333 0.2920  3 P 2.23, 1 Au 2.34
12 P 0.3333 0.6667 0.7080  3 P 2.23, 1 Au 2.34
13 P 0.6238 0.0000 0.8008  2 P 2.23, 2 Au 2.37-2.38
14 P 0.3762 0.3762 0.8008  2 P 2.23, 2 Au 2.37-2.38
15 P 0.0000 0.3762 0.1992  2 P 2.23, 2 Au 2.37-2.38
16 P 0.6667 0.3333 0.7080  3 P 2.23, 1 Au 2.34
17 P 0.3333 0.6667 0.2920  3 P 2.23, 1 Au 2.34
18 P 0.3762 0.0000 0.1992  2 P 2.23, 2 Au 2.37-2.38

---

Density functional theory data (GGA-PBE) for a geometry-optimized P2AuI structure.

Computed properties:
formation energy (no corrections): 4.060 eV per formula unit
M_tot: 0.0 μB/f.u.
symmetry: No. 225

Unit cell a=4.8176 b=4.8176 c=4.8176 alpha=60.00 beta=60.00 gamma=60.00
With the nearest neighbours (Å) after each atom.
Element x y z (fractional)
1 P 0.7500 0.7500 0.7500  4 Au 2.95, 4 I 2.95
2 P 0.2500 0.2500 0.2500  4 I 2.95, 4 Au 2.95
3 I 0.0000 0.0000 0.0000  8 P 2.95
4 Au 0.5000 0.5000 0.5000  8 P 2.95

---

Density functional theory data (GGA-PBE) for a geometry-optimized PAuI2 structure.

Computed properties:
formation energy (no corrections): 2.376 eV per formula unit
M_tot: 0.0 μB/f.u.
symmetry: No. 122

Unit cell a=5.6721 b=5.6721 c=9.0703 alpha=71.78 beta=71.78 gamma=90.00
With the nearest neighbours (Å) after each atom.
Element x y z (fractional)
1 I 0.1444 0.6250 0.2500  2 P 2.80, 2 Au 2.91
2 I 0.3750 0.3945 0.7500  2 P 2.80, 2 Au 2.91
3 I 0.6056 0.1250 0.2500  2 P 2.80, 2 Au 2.91
4 I 0.8750 0.8556 0.7500  2 P 2.80, 2 Au 2.91
5 Au 0.0000 0.0000 0.0000  4 I 2.91
6 Au 0.7500 0.2500 0.5000  4 I 2.91
7 P 0.2500 0.7500 0.5000  4 I 2.80
8 P 0.5000 0.5000 0.0000  4 I 2.80

---

Density functional theory data (GGA-PBE) for a geometry-optimized PPbAu2I structure.

Computed properties:
formation energy (no corrections): 4.412 eV per formula unit
M_tot: 0.0 μB/f.u.
symmetry: No. 123

Unit cell a=5.2767 b=5.3680 c=5.2767 alpha=90.00 beta=90.00 gamma=90.00
With the nearest neighbours (Å) after each atom.
Element x y z (fractional)
1 Pb 0.5000 0.5000 0.5000  4 P 3.73, 8 Au 3.76
2 Au 0.5000 0.0000 0.0000  2 I 2.64
3 Au 0.0000 0.0000 0.5000  2 I 2.64
4 P 0.0000 0.5000 0.0000  2 I 2.68
5 I 0.0000 0.0000 0.0000  4 Au 2.64, 2 P 2.68

---

Density functional theory data (GGA-PBE) for a geometry-optimized P2PdAuI structure.

Computed properties:
formation energy (no corrections): 7.412 eV per formula unit
M_tot: 0.0 μB/f.u.
symmetry: No. 123

Unit cell a=5.1784 b=4.9547 c=5.1784 alpha=90.00 beta=90.00 gamma=90.00
With the nearest neighbours (Å) after each atom.
Element x y z (fractional)
1 Pd 0.0000 0.5000 0.0000  2 I 2.48
2 I 0.0000 0.0000 0.0000  2 Pd 2.48, 4 P 2.59
3 Au 0.5000 0.5000 0.5000  8 P 3.58, 4 Pd 3.66
4 P 0.5000 0.0000 0.0000  2 I 2.59
5 P 0.0000 0.0000 0.5000  2 I 2.59

---

Density functional theory data (GGA-PBE) for a geometry-optimized Pr4PAuI2 structure.

Computed properties:
formation energy (no corrections): -8.636 eV per formula unit
M_tot: 0.0 μB/f.u.
symmetry: No. 10

Unit cell a=4.2394 b=7.6778 c=8.0863 alpha=106.92 beta=90.00 gamma=90.00
With the nearest neighbours (Å) after each atom.
Element x y z (fractional)
1 I 0.5000 0.0000 0.5000  6 Pr 3.33-3.39
2 I 0.0000 0.5000 0.5000  6 Pr 3.41-3.47
3 Pr 0.5000 0.7827 0.8007  2 P 2.88, 1 Au 3.06
4 Pr 0.0000 0.2623 0.7971  1 P 2.95, 2 Au 2.96
5 Pr 0.5000 0.2173 0.1993  2 P 2.88, 1 Au 3.06
6 Pr 0.0000 0.7377 0.2029  1 P 2.95, 2 Au 2.96
7 Au 0.5000 0.5000 0.0000  6 Pr 2.96-3.06
8 P 0.0000 0.0000 0.0000  6 Pr 2.88-2.95

---

Density functional theory data (GGA-PBE) for a geometry-optimized Pr6P2AuI3 structure.

Computed properties:
formation energy (no corrections): -13.943 eV per formula unit
M_tot: 0.0 μB/f.u.
symmetry: No. 12

Unit cell a=7.4557 b=7.4557 c=8.0947 alpha=98.77 beta=98.77 gamma=119.91
With the nearest neighbours (Å) after each atom.
Element x y z (fractional)
1 Pr 0.0655 0.4122 0.2000  2 P 2.89, 1 Au 3.01
2 Pr 0.9345 0.5878 0.8000  2 P 2.89, 1 Au 3.01
3 Pr 0.5878 0.9345 0.8000  2 P 2.89, 1 Au 3.01
4 Pr 0.2800 0.2800 0.8009  2 P 2.88, 1 Au 3.00
5 Pr 0.7200 0.7200 0.1991  2 P 2.88, 1 Au 3.00
6 Pr 0.4122 0.0655 0.2000  2 P 2.89, 1 Au 3.01
7 P 0.3337 0.6663 0.0000  6 Pr 2.88-2.89
8 P 0.6663 0.3337 0.0000  6 Pr 2.88-2.89
9 I 0.8348 0.1652 0.5000  6 Pr 3.34-3.43
10 I 0.1652 0.8348 0.5000  6 Pr 3.34-3.43
11 I 0.5000 0.5000 0.5000  6 Pr 3.33-3.44
12 Au 0.0000 0.0000 0.0000  6 Pr 3.00-3.01